# LuZnNiPd, optimized geometry, DFT PBE
data_LuZnNiPd
_cell_length_a 4.516
_cell_length_b 4.516
_cell_length_c 4.516
_cell_angle_alpha 60.00
_cell_angle_beta 60.00
_cell_angle_gamma 60.00
_space_group_name_H-M_alt 'P 1'
_space_group_IT_number 1
loop_
_space_group_symop_operation_xyz
'x,y,z'
loop_
_atom_site_label
_atom_site_type_symbol
_atom_site_fract_x
_atom_site_fract_y
_atom_site_fract_z
Ni1 Ni 0.750 0.750 0.750
Zn1 Zn 0.000 0.000 0.000
Lu1 Lu 0.500 0.500 0.500
Pd1 Pd 0.250 0.250 0.250
# formation energy	-557.6	meV per atom
# crystal system	cubic
# space-group type	F-43m

---

# Na4Hf3ZnS8, optimized geometry, DFT PBE
data_Na4Hf3ZnS8
_cell_length_a 7.405
_cell_length_b 7.939
_cell_length_c 7.406
_cell_angle_alpha 117.81
_cell_angle_beta 120.00
_cell_angle_gamma 90.00
_space_group_name_H-M_alt 'P 1'
_space_group_IT_number 1
loop_
_space_group_symop_operation_xyz
'x,y,z'
loop_
_atom_site_label
_atom_site_type_symbol
_atom_site_fract_x
_atom_site_fract_y
_atom_site_fract_z
Na1 Na 0.500 0.000 0.000
Na2 Na 0.500 0.000 0.500
Na3 Na 0.000 0.000 0.000
Na4 Na 0.000 0.000 0.500
Hf1 Hf 0.500 0.500 0.000
Hf2 Hf 0.500 0.500 0.500
Hf3 Hf 0.000 0.500 0.500
Zn1 Zn 0.000 0.500 0.000
S1 S 0.239 0.715 0.977
S2 S 0.239 0.716 0.478
S3 S 0.260 0.279 0.520
S4 S 0.739 0.715 0.977
S5 S 0.261 0.285 0.023
S6 S 0.740 0.721 0.480
S7 S 0.761 0.284 0.522
S8 S 0.761 0.285 0.023
# formation energy (no corrections)	-1.34	eV per atom
# crystal system	trigonal
# space-group type	R-3m

---

# GaHg3, optimized geometry, DFT PBE
data_GaHg3
_cell_length_a 6.527
_cell_length_b 6.527
_cell_length_c 5.365
_cell_angle_alpha 90.00
_cell_angle_beta 90.00
_cell_angle_gamma 120.00
_space_group_name_H-M_alt 'P 1'
_space_group_IT_number 1
loop_
_space_group_symop_operation_xyz
'x,y,z'
loop_
_atom_site_label
_atom_site_type_symbol
_atom_site_fract_x
_atom_site_fract_y
_atom_site_fract_z
Ga1 Ga 0.333 0.667 0.750
Ga2 Ga 0.667 0.333 0.250
Hg1 Hg 0.168 0.335 0.250
Hg2 Hg 0.665 0.832 0.250
Hg3 Hg 0.168 0.832 0.250
Hg4 Hg 0.832 0.665 0.750
Hg5 Hg 0.335 0.168 0.750
Hg6 Hg 0.832 0.168 0.750
# formation energy	63.5	meV per atom
# crystal system	hexagonal
# space-group type	P6_3/mmc

---

# Ac2CeThSe4, optimized geometry, DFT PBE
data_Ac2CeThSe4
_cell_length_a 4.310
_cell_length_b 7.460
_cell_length_c 7.574
_cell_angle_alpha 109.15
_cell_angle_beta 90.00
_cell_angle_gamma 90.00
_space_group_name_H-M_alt 'P 1'
_space_group_IT_number 1
loop_
_space_group_symop_operation_xyz
'x,y,z'
loop_
_atom_site_label
_atom_site_type_symbol
_atom_site_fract_x
_atom_site_fract_y
_atom_site_fract_z
Ac1 Ac 0.500 0.000 0.500
Ac2 Ac 0.000 0.500 0.500
Ce1 Ce 0.000 0.000 0.000
Th1 Th 0.500 0.500 0.000
Se1 Se 0.500 0.244 0.234
Se2 Se 0.500 0.756 0.766
Se3 Se 0.000 0.255 0.766
Se4 Se 0.000 0.745 0.234
# formation energy (no corrections)	-1.75	eV per atom
# crystal system	monoclinic
# space-group type	P2/m

---

Computed volume (A^3/atom) in order:
16.28; 19.86; 24.74; 28.76
Computed DFT total energy (eV per atom) in order:
-4.750; -5.681; -0.920; -6.192
Computed N(E_F) (states/eV per cell) in order:
1.974; 4.461; 1.390; 8.991